Record 1
# Re3Pt PBE optimized geometry
# total energy: -10.94 eV/atom
# energy of formation from the pure elements: -0.38 eV per formula unit
data_Re3Pt
_chemical_formula_sum 'Re3 Pt1'
_cell_length_a 2.7798
_cell_length_b 4.4380
_cell_length_c 4.8495
_cell_angle_alpha 90.00
_cell_angle_beta 90.00
_cell_angle_gamma 90.00
_space_group_name_H-M_alt 'P 1'
_space_group_IT_number 1
loop_
_space_group_symop_operation_xyz
'x,y,z'
loop_
_atom_site_label
_atom_site_fract_x
_atom_site_fract_y
_atom_site_fract_z
Re1 0.0000 0.0000 0.0000
Re2 0.0000 0.5000 0.3236
Re3 0.5000 0.5000 0.8249
Pt1 0.5000 0.0000 0.4914

***

Record 2
# RePt PBE optimized geometry
# total energy: -9.20 eV/atom
# energy of formation from the pure elements: 0.08 eV per formula unit
# energy above the lowest structure with this stoichiometry: 0.34 eV per formula unit
data_RePt
_chemical_formula_sum 'Re8 Pt8'
_cell_length_a 4.8619
_cell_length_b 5.6010
_cell_length_c 9.2200
_cell_angle_alpha 90.00
_cell_angle_beta 90.00
_cell_angle_gamma 90.00
_space_group_name_H-M_alt 'P 1'
_space_group_IT_number 1
loop_
_space_group_symop_operation_xyz
'x,y,z'
loop_
_atom_site_label
_atom_site_fract_x
_atom_site_fract_y
_atom_site_fract_z
Re1 0.1519 0.0308 0.1091
Re2 0.1519 0.4692 0.1091
Re3 0.3481 0.5308 0.6091
Re4 0.3481 0.9692 0.6091
Re5 0.6519 0.0308 0.3909
Re6 0.6519 0.4692 0.3909
Re7 0.8481 0.5308 0.8909
Re8 0.8481 0.9692 0.8909
Pt1 0.1431 0.7500 0.3452
Pt2 0.1458 0.2500 0.3900
Pt3 0.3542 0.7500 0.8900
Pt4 0.3569 0.2500 0.8452
Pt5 0.6431 0.7500 0.1548
Pt6 0.6458 0.2500 0.1100
Pt7 0.8542 0.7500 0.6100
Pt8 0.8569 0.2500 0.6548